## Li2TlCl (PBE)

Data for Li2TlCl after structural relaxation.

abc: 3.3312 3.4857 7.7205
angles: 86.90 90.00 90.00
Closest atoms and distances in Å follow each position.
Positions (direct):
Li1 0.0000 0.7084 0.5353  2 Cl 2.36
Li2 0.0000 0.7916 0.9647  2 Cl 2.36
Tl1 0.5000 0.2500 0.2500  8 Li 3.25-3.28, 4 Tl 3.33-3.49
Cl1 0.5000 0.7500 0.7500  4 Li 2.36

- Electronic total energy: -11.4 eV for the cell shown
- Space group: No. 10
- Formation energy from raw total energies: -0.837 eV/atom

---

## Li2TlCl (PBE)

Data for Li2TlCl after structural relaxation.

abc: 6.9666 6.9666 6.9666
angles: 148.60 148.60 45.00
Closest atoms and distances in Å follow each position.
Positions (direct):
Li1 0.0000 0.0000 0.0000  4 Tl 2.67
Li2 0.2500 0.7500 0.5000  4 Cl 2.67
Tl1 0.5000 0.5000 0.0000  4 Li 2.67
Cl1 0.7500 0.2500 0.5000  4 Li 2.67

- Electronic total energy: -10.7 eV for the cell shown
- Space group: No. 119
- Formation energy from raw total energies: -0.663 eV/atom

---

## Li3TlCl6 (PBE)

Data for Li3TlCl6 after structural relaxation.

abc: 6.5139 6.5139 7.0450
angles: 62.46 62.46 60.00
Closest atoms and distances in Å follow each position.
Positions (direct):
Li1 0.1525 0.1525 0.5424  6 Cl 2.54-2.66
Li2 0.6514 0.6514 0.0459  6 Cl 2.55-2.68
Li3 0.3574 0.3574 0.9278  6 Cl 2.50-2.79
Tl1 0.8451 0.8451 0.4646  6 Cl 2.60-2.68
Cl1 0.5578 0.2529 0.2507  3 Li 2.55-2.79, 1 Tl 2.60
Cl2 0.0582 0.4297 0.7557  3 Li 2.50-2.68, 1 Tl 2.68
Cl3 0.7564 0.0582 0.7557  3 Li 2.50-2.68, 1 Tl 2.68
Cl4 0.2529 0.9387 0.2507  3 Li 2.55-2.79, 1 Tl 2.60
Cl5 0.9387 0.5578 0.2507  3 Li 2.55-2.79, 1 Tl 2.60
Cl6 0.4297 0.7564 0.7557  3 Li 2.50-2.68, 1 Tl 2.68

- Electronic total energy: -32.5 eV for the cell shown
- Space group: No. 146
- Formation energy from raw total energies: -1.333 eV/atom

---

## LiTlCl2 (PBE)

Data for LiTlCl2 after structural relaxation.

abc: 5.7057 5.7057 5.7057
angles: 140.94 105.22 87.76
Closest atoms and distances in Å follow each position.
Positions (direct):
Cl1 0.9461 0.9461 0.0000  2 Li 2.50
Cl2 0.5539 0.5539 0.0000  2 Li 2.50
Li1 0.7500 0.2500 0.5000  4 Cl 2.50
Tl1 0.2500 0.7500 0.5000  4 Cl 3.14

- Electronic total energy: -13.0 eV for the cell shown
- Energy relative to the lowest polymorph listed for this composition: 128 meV per atom
- Space group: No. 71
- Formation energy from raw total energies: -1.268 eV/atom

---

## Li2TlCl (PBE)

Data for Li2TlCl after structural relaxation.

abc: 3.2493 3.2493 7.6521
angles: 90.00 90.00 90.00
Closest atoms and distances in Å follow each position.
Positions (direct):
Cl1 0.5000 0.5000 0.7500  8 Li 2.76
Li1 0.0000 0.0000 0.5510  4 Cl 2.76, 1 Li 3.05
Li2 0.0000 0.0000 0.9490  4 Cl 2.76, 1 Li 3.05
Tl1 0.5000 0.5000 0.2500  4 Tl 3.25, 8 Li 3.25

- Electronic total energy: -11.3 eV for the cell shown
- Space group: No. 123
- Formation energy from raw total energies: -0.806 eV/atom

---

## Li2TlCl4 (PBE)

Data for Li2TlCl4 after structural relaxation.

abc: 5.6166 5.6166 6.1764
angles: 90.00 90.00 90.00
Closest atoms and distances in Å follow each position.
Positions (direct):
Cl1 0.7343 0.7343 0.2839  2 Li 2.40
Cl2 0.7343 0.2657 0.7161  2 Li 2.40
Cl3 0.2657 0.2657 0.2839  2 Li 2.40
Cl4 0.2657 0.7343 0.7161  2 Li 2.40
Li1 0.5000 0.0000 0.5000  4 Cl 2.40
Li2 0.0000 0.5000 0.5000  4 Cl 2.40
Tl1 0.0000 0.0000 0.0000  4 Cl 2.74

- Electronic total energy: -22.6 eV for the cell shown
- Space group: No. 111
- Formation energy from raw total energies: -1.284 eV/atom

---

## LiTlCl2 (PBE)

Data for LiTlCl2 after structural relaxation.

abc: 5.2195 5.2195 5.2195
angles: 60.00 60.00 60.00
Closest atoms and distances in Å follow each position.
Positions (direct):
Tl1 0.5000 0.5000 0.5000  8 Cl 3.20
Cl1 0.7500 0.7500 0.7500  4 Li 3.20, 4 Tl 3.20
Cl2 0.2500 0.2500 0.2500  4 Tl 3.20, 4 Li 3.20
Li1 0.0000 0.0000 0.0000  8 Cl 3.20

- Electronic total energy: -12.5 eV for the cell shown
- Energy relative to the lowest polymorph listed for this composition: 262 meV per atom
- Space group: No. 225
- Formation energy from raw total energies: -1.133 eV/atom

---

## LiTlCl2 (PBE)

Data for LiTlCl2 after structural relaxation.

abc: 4.3438 4.3438 8.0789
angles: 90.00 90.00 127.59
Closest atoms and distances in Å follow each position.
Positions (direct):
Li1 0.5000 0.5000 0.2500  4 Cl 2.53
Cl1 0.0000 0.0000 0.0459  2 Li 2.53
Cl2 0.0000 0.0000 0.4541  2 Li 2.53
Tl1 0.5000 0.5000 0.7500  4 Cl 3.06

- Electronic total energy: -13.0 eV for the cell shown
- Energy relative to the lowest polymorph listed for this composition: 151 meV per atom
- Space group: No. 65
- Formation energy from raw total energies: -1.245 eV/atom

---

## LiTlCl2 (PBE)

Data for LiTlCl2 after structural relaxation.

abc: 3.7442 3.7442 7.7809
angles: 90.00 90.00 90.00
Closest atoms and distances in Å follow each position.
Positions (direct):
Tl1 0.5000 0.5000 0.8066  5 Cl 3.05-3.32
Cl1 0.0000 0.0000 0.0011  1 Li 2.42
Cl2 0.5000 0.5000 0.3799  4 Li 2.70
Li1 0.0000 0.0000 0.3124  5 Cl 2.42-2.70

- Electronic total energy: -13.2 eV for the cell shown
- Energy relative to the lowest polymorph listed for this composition: 92 meV per atom
- Space group: No. 99
- Formation energy from raw total energies: -1.304 eV/atom

---

## LiTl2Cl3 (PBE)

Data for LiTl2Cl3 after structural relaxation.

abc: 4.3263 9.1056 17.6802
angles: 90.00 90.00 90.00
Closest atoms and distances in Å follow each position.
Positions (direct):
Li1 0.7500 0.1327 0.1319  4 Cl 2.39-2.46
Li2 0.2500 0.8673 0.8681  4 Cl 2.39-2.46
Li3 0.7500 0.6327 0.3681  4 Cl 2.39-2.46
Li4 0.2500 0.3673 0.6319  4 Cl 2.39-2.46
Tl1 0.2500 0.9254 0.2848  7 Cl 3.20-3.39
Tl2 0.2500 0.4254 0.2152  7 Cl 3.20-3.39
Tl3 0.7500 0.0746 0.7152  7 Cl 3.20-3.39
Tl4 0.7500 0.7416 0.0417  4 Cl 3.09-3.46
Tl5 0.7500 0.5746 0.7848  7 Cl 3.20-3.39
Tl6 0.7500 0.2416 0.4583  4 Cl 3.09-3.46
Tl7 0.2500 0.2584 0.9583  4 Cl 3.09-3.46
Tl8 0.2500 0.7584 0.5417  4 Cl 3.09-3.46
Cl1 0.2500 0.1340 0.5705  1 Li 2.39
Cl2 0.2500 0.3187 0.7647  1 Li 2.39
Cl3 0.7500 0.4806 0.6015  2 Li 2.46
Cl4 0.7500 0.8660 0.4295  1 Li 2.39
Cl5 0.2500 0.6340 0.9295  1 Li 2.39
Cl6 0.2500 0.0194 0.1015  2 Li 2.46
Cl7 0.2500 0.5194 0.3985  2 Li 2.46
Cl8 0.7500 0.1813 0.2647  1 Li 2.39
Cl9 0.7500 0.3660 0.0705  1 Li 2.39
Cl10 0.2500 0.8187 0.7353  1 Li 2.39
Cl11 0.7500 0.6813 0.2353  1 Li 2.39
Cl12 0.7500 0.9806 0.8985  2 Li 2.46

- Electronic total energy: -79.3 eV for the cell shown
- Space group: No. 62
- Formation energy from raw total energies: -1.274 eV/atom

---

## LiTlCl2 (PBE)

Data for LiTlCl2 after structural relaxation.

abc: 7.8167 7.8167 7.8167
angles: 153.55 151.78 39.06
Closest atoms and distances in Å follow each position.
Positions (direct):
Cl1 0.9784 0.9784 0.0000  4 Li 2.79
Cl2 0.6785 0.1785 0.5000  2 Li 2.65
Tl1 0.2976 0.7976 0.5000  6 Cl 3.15-3.28
Li1 0.5456 0.5456 0.0000  6 Cl 2.65-2.79

- Electronic total energy: -13.1 eV for the cell shown
- Energy relative to the lowest polymorph listed for this composition: 119 meV per atom
- Space group: No. 44
- Formation energy from raw total energies: -1.276 eV/atom

---

## Li2TlCl (PBE)

Data for Li2TlCl after structural relaxation.

abc: 5.2819 5.2819 5.2819
angles: 60.00 60.00 60.00
Closest atoms and distances in Å follow each position.
Positions (direct):
Cl1 0.5000 0.5000 0.5000  4 Li 3.23, 4 Tl 3.23
Li1 0.0000 0.0000 0.0000  4 Tl 3.23, 4 Li 3.23
Li2 0.2500 0.2500 0.2500  4 Li 3.23, 4 Cl 3.23
Tl1 0.7500 0.7500 0.7500  4 Cl 3.23, 4 Li 3.23

- Electronic total energy: -9.1 eV for the cell shown
- Space group: No. 216
- Formation energy from raw total energies: -0.274 eV/atom

---

Q: Look up the formation energy from raw total energies of the seventh one.
A: -1.133 eV/atom

---

Q: Which value of formation energy from raw total energies does entry 11 give?
A: -1.276 eV/atom

---

Q: Which formula does entry 8 have?
A: LiTlCl2

---

Please write out number 10 again, unchanged.
## LiTl2Cl3 (PBE)

Data for LiTl2Cl3 after structural relaxation.

abc: 4.3263 9.1056 17.6802
angles: 90.00 90.00 90.00
Closest atoms and distances in Å follow each position.
Positions (direct):
Li1 0.7500 0.1327 0.1319  4 Cl 2.39-2.46
Li2 0.2500 0.8673 0.8681  4 Cl 2.39-2.46
Li3 0.7500 0.6327 0.3681  4 Cl 2.39-2.46
Li4 0.2500 0.3673 0.6319  4 Cl 2.39-2.46
Tl1 0.2500 0.9254 0.2848  7 Cl 3.20-3.39
Tl2 0.2500 0.4254 0.2152  7 Cl 3.20-3.39
Tl3 0.7500 0.0746 0.7152  7 Cl 3.20-3.39
Tl4 0.7500 0.7416 0.0417  4 Cl 3.09-3.46
Tl5 0.7500 0.5746 0.7848  7 Cl 3.20-3.39
Tl6 0.7500 0.2416 0.4583  4 Cl 3.09-3.46
Tl7 0.2500 0.2584 0.9583  4 Cl 3.09-3.46
Tl8 0.2500 0.7584 0.5417  4 Cl 3.09-3.46
Cl1 0.2500 0.1340 0.5705  1 Li 2.39
Cl2 0.2500 0.3187 0.7647  1 Li 2.39
Cl3 0.7500 0.4806 0.6015  2 Li 2.46
Cl4 0.7500 0.8660 0.4295  1 Li 2.39
Cl5 0.2500 0.6340 0.9295  1 Li 2.39
Cl6 0.2500 0.0194 0.1015  2 Li 2.46
Cl7 0.2500 0.5194 0.3985  2 Li 2.46
Cl8 0.7500 0.1813 0.2647  1 Li 2.39
Cl9 0.7500 0.3660 0.0705  1 Li 2.39
Cl10 0.2500 0.8187 0.7353  1 Li 2.39
Cl11 0.7500 0.6813 0.2353  1 Li 2.39
Cl12 0.7500 0.9806 0.8985  2 Li 2.46

- Electronic total energy: -79.3 eV for the cell shown
- Space group: No. 62
- Formation energy from raw total energies: -1.274 eV/atom